Computed, not measured: a geometry-optimized ErMg2 structure at the PBEsol level of DFT.

Output
- Energy of formation from the pure elements: -0.043 eV per atom

abc: 8.4041 8.4041 8.4041
angles: 90.00 90.00 90.00
Space group Fd-3m (No. 227, origin choice 2)
Symmetry-distinct sites (fractional):
Er (0.1250, 0.1250, 0.1250) x8
Mg (0.0000, 0.0000, 0.5000) x16

Computed, not measured: a geometry-optimized ErMg2 structure at the PBEsol level of DFT.

Output
- Energy of formation from the pure elements: -0.043 eV per atom

abc: 5.9608 5.9608 9.6505
angles: 90.00 90.00 120.00
Space group P6_3/mmc (No. 194)
Symmetry-distinct sites (fractional):
Er (0.3333, 0.6667, 0.0636) x4
Mg (0.0000, 0.0000, 0.0000) x2
Mg (0.1711, 0.3423, 0.7500) x6

Computed, not measured: a geometry-optimized Er5Mg structure at the PBEsol level of DFT.

Output
- Energy of formation from the pure elements: 0.016 eV per atom

abc: 5.9617 5.9617 16.2581
angles: 90.00 90.00 120.00
Space group R32 (No. 155, hexagonal axes)
Symmetry-distinct sites (fractional):
Er (0.0000, 0.0000, 0.1677) x6
Er (0.0000, 0.6621, 0.0000) x9
Mg (0.0000, 0.0000, 0.5000) x3

Computed, not measured: a geometry-optimized Er3Mg structure at the PBEsol level of DFT.

Output
- Energy of formation from the pure elements: -0.018 eV per atom

abc: 3.4557 3.4557 9.1749
angles: 90.00 90.00 90.00
Space group P4/mmm (No. 123)
Symmetry-distinct sites (fractional):
Er (0.0000, 0.0000, 0.0000) x1
Er (0.5000, 0.5000, 0.2576) x2
Mg (0.0000, 0.0000, 0.5000) x1

Computed, not measured: a geometry-optimized Er2Mg structure at the PBEsol level of DFT.

Output
- Energy of formation from the pure elements: -0.048 eV per atom

abc: 3.5340 17.0265 5.3456
angles: 90.00 90.00 90.00
Space group Cmcm (No. 63)
Symmetry-distinct sites (fractional):
Er (0.0000, 0.0979, 0.2500) x4
Er (0.0000, 0.2262, 0.7500) x4
Mg (0.0000, 0.4370, 0.2500) x4

Computed, not measured: a geometry-optimized Er2MgTiO6 structure at the PBEsol level of DFT.

Output
- Raw formation energy: -3.36 eV/atom

abc: 5.2233 5.5556 9.1601
angles: 90.00 124.34 90.00
Space group P2_1/c (No. 14)
Symmetry-distinct sites (fractional):
Er (0.2273, 0.0702, 0.2477) x4
Mg (0.0000, 0.0000, 0.5000) x2
Ti (0.5000, 0.0000, 0.0000) x2
O (0.1396, 0.1872, 0.9418) x4
O (0.2512, 0.7023, 0.9344) x4
O (0.3775, 0.0466, 0.7567) x4

Number 1: total magnetization 0.0 μB/f.u.. Number 2: total magnetization 0.0 μB/f.u.. Number 3: total magnetization 0.0 μB/f.u.. Number 4: total magnetization 0.0 μB/f.u.. Number 5: total magnetization 0.0 μB/f.u.. Number 6: total magnetization 0.0 μB/f.u..